A plane-wave DFT calculation with GGA+U was carried out for a relaxed Li5Mn3O5F3 crystal.

Geometry as POSCAR:
```
Li5Mn3O5F3
1.0
5.816 0.000 0.000
-0.082 5.945 0.000
-2.861 -2.918 4.523
Li Mn O F
5 3 5 3
Cartesian
0.000 0.000 0.000
-0.046 3.105 0.034
-1.388 1.564 2.316
3.018 -0.003 0.023
1.515 1.583 2.512
-1.378 -1.395 2.197
1.526 -1.396 2.342
2.942 3.058 0.070
0.003 3.239 2.352
0.077 -0.064 2.431
2.876 3.199 2.285
4.353 4.526 0.064
2.970 -0.091 2.376
-1.485 1.660 4.485
1.454 1.497 0.186
4.446 1.473 0.208
```

## Properties
Its space group is P1. As for the magnetization: 0.813 μB per atom. The total energy is -6.03 eV per atom.